Entry 1:
## HgAs2IBr (PBEsol)

Data for an optimized crystal structure of HgAs2IBr.

Output
For the magnetization, the calculation gives 1.47 μB per formula unit. The calculation puts the uncorrected formation energy at 0.9559 eV per atom. The calculation puts the total energy at -9.64 eV/cell.

Cell: 5.4018 5.4018 5.7239 Å, 90.00 90.00 90.00°
Closest atoms and distances in Å follow each position.
Fractional positions:
I1 0.0000 0.0000 0.0000  4 As 2.70, 2 Br 2.86
As1 0.0000 0.5000 0.0000  2 I 2.70
As2 0.5000 0.0000 0.0000  2 I 2.70
Hg1 0.5000 0.5000 0.5000  4 Br 3.82, 8 As 3.94
Br1 0.0000 0.0000 0.5000  2 I 2.86

=====

Entry 2:
## LaHgAsBr2 (PBEsol)

Data for an optimized crystal structure of LaHgAsBr2.

Output
For the magnetization, the calculation gives 2.01 μB per formula unit. The calculation puts the uncorrected formation energy at -0.6132 eV per atom. The calculation puts the total energy at -17.83 eV/cell.

Cell: 5.7678 5.7678 6.0463 Å, 90.00 90.00 90.00°
Closest atoms and distances in Å follow each position.
Fractional positions:
As1 0.0000 0.0000 0.5000  2 La 3.02
Hg1 0.5000 0.5000 0.5000  4 As 4.08, 8 Br 4.18
Br1 0.0000 0.5000 0.0000  2 La 2.88
Br2 0.5000 0.0000 0.0000  2 La 2.88
La1 0.0000 0.0000 0.0000  4 Br 2.88, 2 As 3.02

=====

Entry 3:
## LiHgAs2Br (PBEsol)

Data for an optimized crystal structure of LiHgAs2Br.

Output
For the magnetization, the calculation gives 1.70 μB per formula unit. The calculation puts the uncorrected formation energy at 0.4409 eV per atom. The calculation puts the total energy at -12.41 eV/cell.

Cell: 5.0744 5.0744 6.1718 Å, 90.00 90.00 90.00°
Closest atoms and distances in Å follow each position.
Fractional positions:
As1 0.0000 0.5000 0.0000  2 Hg 2.54
As2 0.5000 0.0000 0.0000  2 Hg 2.54
Hg1 0.0000 0.0000 0.0000  4 As 2.54
Br1 0.0000 0.0000 0.5000  2 Hg 3.09
Li1 0.5000 0.5000 0.5000  4 Br 3.59, 8 As 4.00

=====

Entry 4:
## MgHgAsBr2 (PBEsol)

Data for an optimized crystal structure of MgHgAsBr2.

Output
For the magnetization, the calculation gives 0.89 μB per formula unit. The calculation puts the uncorrected formation energy at 0.2483 eV per atom. The calculation puts the total energy at -9.89 eV/cell.

Cell: 5.2846 5.3834 5.3834 Å, 90.00 90.00 90.00°
Closest atoms and distances in Å follow each position.
Fractional positions:
Mg1 0.5000 0.5000 0.5000  8 Br 3.77, 4 As 3.81
As1 0.5000 0.0000 0.0000  2 Hg 2.64
Hg1 0.0000 0.0000 0.0000  2 As 2.64, 4 Br 2.69
Br1 0.0000 0.0000 0.5000  2 Hg 2.69
Br2 0.0000 0.5000 0.0000  2 Hg 2.69

=====

Entry 5:
## HgMoAsBr2 (PBEsol)

Data for an optimized crystal structure of HgMoAsBr2.

Output
For the magnetization, the calculation gives 0.00 μB per formula unit. The calculation puts the uncorrected formation energy at 0.1950 eV per atom. The calculation puts the total energy at -20.21 eV/cell.

Cell: 4.8528 5.0806 5.0806 Å, 90.00 90.00 90.00°
Closest atoms and distances in Å follow each position.
Fractional positions:
As1 0.5000 0.0000 0.0000  2 Mo 2.43
Mo1 0.0000 0.0000 0.0000  2 As 2.43, 4 Br 2.54
Hg1 0.5000 0.5000 0.5000  8 Br 3.51, 4 As 3.59
Br1 0.0000 0.0000 0.5000  2 Mo 2.54
Br2 0.0000 0.5000 0.0000  2 Mo 2.54

=====

Entry 6:
## Hg3AsBrO4 (PBEsol)

Data for an optimized crystal structure of Hg3AsBrO4.

Output
For the magnetization, the calculation gives 0.00 μB per formula unit. The calculation puts the uncorrected formation energy at -0.6911 eV per atom. The calculation puts the total energy at -143.57 eV/cell.

Cell: 8.5160 8.5160 8.5160 Å, 90.00 90.00 90.00°
Closest atoms and distances in Å follow each position.
Fractional positions:
As1 0.9803 0.9803 0.9803  4 O 1.70-1.74
As2 0.5197 0.0197 0.4803  4 O 1.70-1.74
As3 0.0197 0.4803 0.5197  4 O 1.70-1.74
As4 0.4803 0.5197 0.0197  4 O 1.70-1.74
Br1 0.2369 0.2369 0.2369  3 Hg 2.92
Br2 0.2631 0.7631 0.7369  3 Hg 2.92
Br3 0.7631 0.7369 0.2631  3 Hg 2.92
Br4 0.7369 0.2631 0.7631  3 Hg 2.92
Hg1 0.3984 0.6444 0.4452  2 O 2.24-2.37
Hg2 0.1016 0.3556 0.9452  2 O 2.24-2.37
Hg3 0.6016 0.1444 0.0548  2 O 2.24-2.37
Hg4 0.8984 0.8556 0.5548  2 O 2.24-2.37
Hg5 0.4452 0.3984 0.6444  2 O 2.24-2.37
Hg6 0.9452 0.1016 0.3556  2 O 2.24-2.37
Hg7 0.0548 0.6016 0.1444  2 O 2.24-2.37
Hg8 0.5548 0.8984 0.8556  2 O 2.24-2.37
Hg9 0.6444 0.4452 0.3984  2 O 2.24-2.37
Hg10 0.3556 0.9452 0.1016  2 O 2.24-2.37
Hg11 0.1444 0.0548 0.6016  2 O 2.24-2.37
Hg12 0.8556 0.5548 0.8984  2 O 2.24-2.37
O1 0.8650 0.8650 0.8650  1 As 1.70
O2 0.6350 0.1350 0.3650  1 As 1.70
O3 0.1350 0.3650 0.6350  1 As 1.70
O4 0.3650 0.6350 0.1350  1 As 1.70
O5 0.1026 0.1026 0.8723  1 As 1.74
O6 0.3974 0.8974 0.3723  1 As 1.74
O7 0.8974 0.6026 0.6277  1 As 1.74
O8 0.6026 0.3974 0.1277  1 As 1.74
O9 0.8723 0.1026 0.1026  1 As 1.74
O10 0.3723 0.3974 0.8974  1 As 1.74
O11 0.6277 0.8974 0.6026  1 As 1.74
O12 0.1277 0.6026 0.3974  1 As 1.74
O13 0.1026 0.8723 0.1026  1 As 1.74
O14 0.8974 0.3723 0.3974  1 As 1.74
O15 0.6026 0.6277 0.8974  1 As 1.74
O16 0.3974 0.1277 0.6026  1 As 1.74